# 1
# ZnGeN2O GGA-PBE optimized geometry
# - Electronic total energy: -0.315 Ry per atom
# - Raw formation energy: 1.22 eV/atom
data_ZnGeN2O
_symmetry_space_group_name_H-M 'P 4/m m m'
_symmetry_Int_Tables_number 123
_symmetry_space_group_name_Hall '-P 4 2'
_cell_length_a 3.9245
_cell_length_b 3.9245
_cell_length_c 4.0242
_cell_angle_alpha 90.00
_cell_angle_beta 90.00
_cell_angle_gamma 90.00
loop_
_atom_site_label
_atom_site_type_symbol
_atom_site_fract_x
_atom_site_fract_y
_atom_site_fract_z
Zn1 Zn 0.0000 0.0000 0.0000
Ge1 Ge 0.5000 0.5000 0.5000
N1 N 0.0000 0.5000 0.0000
O1 O 0.0000 0.0000 0.5000

=====

# 2
# ZnGeNO2 GGA-PBE optimized geometry
# - Electronic total energy: -0.363 Ry per atom
# - Raw formation energy: -0.11 eV/atom
data_ZnGeNO2
_symmetry_space_group_name_H-M 'P 4/m m m'
_symmetry_Int_Tables_number 123
_symmetry_space_group_name_Hall '-P 4 2'
_cell_length_a 3.7339
_cell_length_b 3.7339
_cell_length_c 3.8452
_cell_angle_alpha 90.00
_cell_angle_beta 90.00
_cell_angle_gamma 90.00
loop_
_atom_site_label
_atom_site_type_symbol
_atom_site_fract_x
_atom_site_fract_y
_atom_site_fract_z
Zn1 Zn 0.0000 0.0000 0.0000
Ge1 Ge 0.5000 0.5000 0.5000
N1 N 0.5000 0.5000 0.0000
O1 O 0.0000 0.5000 0.5000

=====

# 3
# ZnGeNO2 GGA-PBE optimized geometry
# - Electronic total energy: -0.320 Ry per atom
# - Raw formation energy: 0.47 eV/atom
data_ZnGeNO2
_symmetry_space_group_name_H-M 'P 4/m m m'
_symmetry_Int_Tables_number 123
_symmetry_space_group_name_Hall '-P 4 2'
_cell_length_a 3.9984
_cell_length_b 3.9984
_cell_length_c 3.8091
_cell_angle_alpha 90.00
_cell_angle_beta 90.00
_cell_angle_gamma 90.00
loop_
_atom_site_label
_atom_site_type_symbol
_atom_site_fract_x
_atom_site_fract_y
_atom_site_fract_z
Zn1 Zn 0.0000 0.0000 0.0000
Ge1 Ge 0.5000 0.5000 0.5000
N1 N 0.0000 0.0000 0.5000
O1 O 0.0000 0.5000 0.0000

=====

# 4
# ZnGeN2O GGA-PBE optimized geometry
# - Electronic total energy: -0.352 Ry per atom
# - Raw formation energy: 0.71 eV/atom
data_ZnGeN2O
_symmetry_space_group_name_H-M 'P 4/m m m'
_symmetry_Int_Tables_number 123
_symmetry_space_group_name_Hall '-P 4 2'
_cell_length_a 3.8269
_cell_length_b 3.8269
_cell_length_c 3.7711
_cell_angle_alpha 90.00
_cell_angle_beta 90.00
_cell_angle_gamma 90.00
loop_
_atom_site_label
_atom_site_type_symbol
_atom_site_fract_x
_atom_site_fract_y
_atom_site_fract_z
Zn1 Zn 0.0000 0.0000 0.0000
Ge1 Ge 0.5000 0.5000 0.5000
N1 N 0.0000 0.5000 0.5000
O1 O 0.5000 0.5000 0.0000

=====

# 5
# ZrGe3N2O9 GGA-PBE optimized geometry
# - Electronic total energy: -0.465 Ry per atom
# - Raw formation energy: -0.75 eV/atom
data_ZrGe3N2O9
_symmetry_space_group_name_H-M 'P 63/m'
_symmetry_Int_Tables_number 176
_symmetry_space_group_name_Hall '-P 6c'
_cell_length_a 7.9441
_cell_length_b 7.9441
_cell_length_c 10.4443
_cell_angle_alpha 90.00
_cell_angle_beta 90.00
_cell_angle_gamma 120.00
loop_
_atom_site_label
_atom_site_type_symbol
_atom_site_fract_x
_atom_site_fract_y
_atom_site_fract_z
Zr1 Zr 0.0000 0.0000 0.0000
Ge1 Ge 0.1865 0.7869 0.2500
N1 N 0.3333 0.6667 0.5513
O1 O 0.0869 0.5313 0.2500
O2 O 0.1018 0.8574 0.1174

=====

# 6
# ZrGeNO2 GGA-PBE optimized geometry
# - Electronic total energy: -0.535 Ry per atom
# - Raw formation energy: -0.99 eV/atom
data_ZrGeNO2
_symmetry_space_group_name_H-M 'P 4/m m m'
_symmetry_Int_Tables_number 123
_symmetry_space_group_name_Hall '-P 4 2'
_cell_length_a 3.7381
_cell_length_b 3.7381
_cell_length_c 3.8623
_cell_angle_alpha 90.00
_cell_angle_beta 90.00
_cell_angle_gamma 90.00
loop_
_atom_site_label
_atom_site_type_symbol
_atom_site_fract_x
_atom_site_fract_y
_atom_site_fract_z
Zr1 Zr 0.0000 0.0000 0.0000
Ge1 Ge 0.5000 0.5000 0.5000
N1 N 0.5000 0.5000 0.0000
O1 O 0.0000 0.5000 0.5000

=====

# 7
# ZrGeNO2 GGA-PBE optimized geometry
# - Electronic total energy: -0.536 Ry per atom
# - Raw formation energy: -1.01 eV/atom
data_ZrGeNO2
_symmetry_space_group_name_H-M 'P 4/m m m'
_symmetry_Int_Tables_number 123
_symmetry_space_group_name_Hall '-P 4 2'
_cell_length_a 4.1296
_cell_length_b 4.1296
_cell_length_c 4.3296
_cell_angle_alpha 90.00
_cell_angle_beta 90.00
_cell_angle_gamma 90.00
loop_
_atom_site_label
_atom_site_type_symbol
_atom_site_fract_x
_atom_site_fract_y
_atom_site_fract_z
Zr1 Zr 0.0000 0.0000 0.0000
Ge1 Ge 0.5000 0.5000 0.5000
N1 N 0.0000 0.0000 0.5000
O1 O 0.0000 0.5000 0.0000

=====

# 8
# Ge3OsN GGA-PBE optimized geometry
# - Electronic total energy: -0.407 Ry per atom
# - Energy above the most stable polymorph in this dataset: 1.02 eV per formula unit
# - Raw formation energy: 1.14 eV/atom
data_Ge3OsN
_symmetry_space_group_name_H-M 'P m -3 m'
_symmetry_Int_Tables_number 221
_symmetry_space_group_name_Hall '-P 4 2 3'
_cell_length_a 4.7407
_cell_length_b 4.7407
_cell_length_c 4.7407
_cell_angle_alpha 90.00
_cell_angle_beta 90.00
_cell_angle_gamma 90.00
loop_
_atom_site_label
_atom_site_type_symbol
_atom_site_fract_x
_atom_site_fract_y
_atom_site_fract_z
Ge1 Ge 0.0000 0.0000 0.5000
Os1 Os 0.0000 0.0000 0.0000
N1 N 0.5000 0.5000 0.5000

=====

# 9
# GeOs2N GGA-PBE optimized geometry
# - Electronic total energy: -0.604 Ry per atom
# - Energy above the most stable polymorph in this dataset: 0.00 eV per formula unit
# - Raw formation energy: 0.64 eV/atom
data_GeOs2N
_symmetry_space_group_name_H-M 'I -4 2 d'
_symmetry_Int_Tables_number 122
_symmetry_space_group_name_Hall 'I -4 2bw'
_cell_length_a 5.2082
_cell_length_b 5.2082
_cell_length_c 9.3231
_cell_angle_alpha 90.00
_cell_angle_beta 90.00
_cell_angle_gamma 90.00
loop_
_atom_site_label
_atom_site_type_symbol
_atom_site_fract_x
_atom_site_fract_y
_atom_site_fract_z
Ge1 Ge 0.0000 0.0000 0.0000
Os1 Os 0.1649 0.2500 0.6250
N1 N 0.0000 0.0000 0.5000

=====

# 10
# GeOs2N GGA-PBE optimized geometry
# - Electronic total energy: -0.565 Ry per atom
# - Energy above the most stable polymorph in this dataset: 2.08 eV per formula unit
# - Raw formation energy: 1.16 eV/atom
data_GeOs2N
_symmetry_space_group_name_H-M 'F m -3 m'
_symmetry_Int_Tables_number 225
_symmetry_space_group_name_Hall '-F 4 2 3'
_cell_length_a 5.8603
_cell_length_b 5.8603
_cell_length_c 5.8603
_cell_angle_alpha 90.00
_cell_angle_beta 90.00
_cell_angle_gamma 90.00
loop_
_atom_site_label
_atom_site_type_symbol
_atom_site_fract_x
_atom_site_fract_y
_atom_site_fract_z
Ge1 Ge 0.0000 0.0000 0.0000
Os1 Os 0.2500 0.2500 0.2500
N1 N 0.0000 0.0000 0.5000

=====

# 11
# Ge3OsN GGA-PBE optimized geometry
# - Electronic total energy: -0.422 Ry per atom
# - Energy above the most stable polymorph in this dataset: 0.00 eV per formula unit
# - Raw formation energy: 0.94 eV/atom
data_Ge3OsN
_symmetry_space_group_name_H-M 'P m -3 m'
_symmetry_Int_Tables_number 221
_symmetry_space_group_name_Hall '-P 4 2 3'
_cell_length_a 4.1800
_cell_length_b 4.1800
_cell_length_c 4.1800
_cell_angle_alpha 90.00
_cell_angle_beta 90.00
_cell_angle_gamma 90.00
loop_
_atom_site_label
_atom_site_type_symbol
_atom_site_fract_x
_atom_site_fract_y
_atom_site_fract_z
Ge1 Ge 0.0000 0.0000 0.5000
Os1 Os 0.5000 0.5000 0.5000
N1 N 0.0000 0.0000 0.0000

=====

# 12
# Pa2Ge2OsN2 GGA-PBE optimized geometry
# - Electronic total energy: -0.605 Ry per atom
# - Raw formation energy: -0.21 eV/atom
data_Pa2Ge2OsN2
_symmetry_space_group_name_H-M 'P -3 m 1'
_symmetry_Int_Tables_number 164
_symmetry_space_group_name_Hall '-P 3 2"'
_cell_length_a 3.5941
_cell_length_b 3.5941
_cell_length_c 13.1234
_cell_angle_alpha 90.00
_cell_angle_beta 90.00
_cell_angle_gamma 120.00
loop_
_atom_site_label
_atom_site_type_symbol
_atom_site_fract_x
_atom_site_fract_y
_atom_site_fract_z
Pa1 Pa 0.3333 0.6667 0.3431
Ge1 Ge 0.0000 0.0000 0.0957
Os1 Os 0.0000 0.0000 0.5000
N1 N 0.3333 0.6667 0.7077

=====

# 13
# Ge2SbOsN GGA-PBE optimized geometry
# - Electronic total energy: -0.289 Ry per atom
# - Raw formation energy: 2.65 eV/atom
data_Ge2SbOsN
_symmetry_space_group_name_H-M 'P 4/m m m'
_symmetry_Int_Tables_number 123
_symmetry_space_group_name_Hall '-P 4 2'
_cell_length_a 5.3531
_cell_length_b 5.3531
_cell_length_c 4.9455
_cell_angle_alpha 90.00
_cell_angle_beta 90.00
_cell_angle_gamma 90.00
loop_
_atom_site_label
_atom_site_type_symbol
_atom_site_fract_x
_atom_site_fract_y
_atom_site_fract_z
Ge1 Ge 0.0000 0.5000 0.0000
Sb1 Sb 0.0000 0.0000 0.0000
Os1 Os 0.0000 0.0000 0.5000
N1 N 0.5000 0.5000 0.5000

=====

# 14
# TcGeOsN GGA-PBE optimized geometry
# - Electronic total energy: -0.620 Ry per atom
# - Energy above the most stable polymorph in this dataset: 0.22 eV per formula unit
# - Raw formation energy: 0.20 eV/atom
data_TcGeOsN
_symmetry_space_group_name_H-M 'P 1 m 1'
_symmetry_Int_Tables_number 6
_cell_length_a 2.7457
_cell_length_b 3.8846
_cell_length_c 5.3963
_cell_angle_alpha 90.00
_cell_angle_beta 90.10
_cell_angle_gamma 90.00
loop_
_symmetry_equiv_pos_as_xyz
'x,y,z'
'x,-y,z'
loop_
_atom_site_label
_atom_site_type_symbol
_atom_site_fract_x
_atom_site_fract_y
_atom_site_fract_z
Tc1 Tc 0.0000 0.0000 0.0000
Ge1 Ge 0.4929 0.5000 0.7420
Os1 Os 0.4998 0.5000 0.2728
N1 N 0.5010 0.0000 0.2871

=====

# 15
# TcGeOsN GGA-PBE optimized geometry
# - Electronic total energy: -0.607 Ry per atom
# - Energy above the most stable polymorph in this dataset: 0.89 eV per formula unit
# - Raw formation energy: 0.37 eV/atom
data_TcGeOsN
_symmetry_space_group_name_H-M 'C 1 m 1'
_symmetry_Int_Tables_number 8
_cell_length_a 4.1238
_cell_length_b 3.8423
_cell_length_c 6.8006
_cell_angle_alpha 90.00
_cell_angle_beta 104.86
_cell_angle_gamma 90.00
loop_
_symmetry_equiv_pos_as_xyz
'x,y,z'
'x,-y,z'
'x+1/2,y+1/2,z'
'x+1/2,-y+1/2,z'
loop_
_atom_site_label
_atom_site_type_symbol
_atom_site_fract_x
_atom_site_fract_y
_atom_site_fract_z
Tc1 Tc 0.0000 0.0000 0.0000
Ge1 Ge 0.1199 0.5000 0.2520
Os1 Os 0.4220 0.0000 0.7134
N1 N 0.2564 0.5000 0.5397

=====

# 16
# TcGeOsN GGA-PBE optimized geometry
# - Electronic total energy: -0.604 Ry per atom
# - Energy above the most stable polymorph in this dataset: 1.11 eV per formula unit
# - Raw formation energy: 0.42 eV/atom
data_TcGeOsN
_symmetry_space_group_name_H-M 'P 1'
_symmetry_Int_Tables_number 1
_cell_length_a 3.7550
_cell_length_b 3.7632
_cell_length_c 4.5568
_cell_angle_alpha 98.40
_cell_angle_beta 109.62
_cell_angle_gamma 107.09
loop_
_symmetry_equiv_pos_as_xyz
'x,y,z'
loop_
_atom_site_label
_atom_site_type_symbol
_atom_site_fract_x
_atom_site_fract_y
_atom_site_fract_z
Tc1 Tc 0.0000 0.0000 0.0000
Ge1 Ge 0.5834 0.7797 0.3271
Os1 Os 0.4011 0.2945 0.6386
N1 N 0.0000 0.4552 0.8044

=====

# 17
# TcGeOsN GGA-PBE optimized geometry
# - Electronic total energy: -0.617 Ry per atom
# - Energy above the most stable polymorph in this dataset: 0.36 eV per formula unit
# - Raw formation energy: 0.24 eV/atom
data_TcGeOsN
_symmetry_space_group_name_H-M 'P 1'
_symmetry_Int_Tables_number 1
_cell_length_a 3.0504
_cell_length_b 3.0636
_cell_length_c 5.8541
_cell_angle_alpha 104.99
_cell_angle_beta 100.36
_cell_angle_gamma 90.10
loop_
_symmetry_equiv_pos_as_xyz
'x,y,z'
loop_
_atom_site_label
_atom_site_type_symbol
_atom_site_fract_x
_atom_site_fract_y
_atom_site_fract_z
Tc1 Tc 0.0000 0.0000 0.0000
Ge1 Ge 0.6084 0.6309 0.2656
Os1 Os 0.2006 0.2630 0.5316
N1 N 0.7903 0.3860 0.7717

=====

# 18
# TcGeOsN GGA-PBE optimized geometry
# - Electronic total energy: -0.607 Ry per atom
# - Energy above the most stable polymorph in this dataset: 0.91 eV per formula unit
# - Raw formation energy: 0.37 eV/atom
data_TcGeOsN
_symmetry_space_group_name_H-M 'C 1 m 1'
_symmetry_Int_Tables_number 8
_cell_length_a 8.4004
_cell_length_b 2.8753
_cell_length_c 4.7623
_cell_angle_alpha 90.00
_cell_angle_beta 103.72
_cell_angle_gamma 90.00
loop_
_symmetry_equiv_pos_as_xyz
'x,y,z'
'x,-y,z'
'x+1/2,y+1/2,z'
'x+1/2,-y+1/2,z'
loop_
_atom_site_label
_atom_site_type_symbol
_atom_site_fract_x
_atom_site_fract_y
_atom_site_fract_z
Tc1 Tc 0.0000 0.0000 0.0000
Ge1 Ge 0.2964 0.5000 0.3739
Os1 Os 0.0384 0.5000 0.5285
N1 N 0.1649 0.5000 0.9411

=====

# 19
# TcGeOsN GGA-PBE optimized geometry
# - Electronic total energy: -0.614 Ry per atom
# - Energy above the most stable polymorph in this dataset: 0.51 eV per formula unit
# - Raw formation energy: 0.27 eV/atom
data_TcGeOsN
_symmetry_space_group_name_H-M 'A m m 2'
_symmetry_Int_Tables_number 38
_cell_length_a 3.4162
_cell_length_b 2.8787
_cell_length_c 11.5305
_cell_angle_alpha 90.00
_cell_angle_beta 90.00
_cell_angle_gamma 90.00
loop_
_symmetry_equiv_pos_as_xyz
'x,y,z'
'-x,-y,z'
'-x,y,z'
'x,-y,z'
'x,y+1/2,z+1/2'
'-x,-y+1/2,z+1/2'
'-x,y+1/2,z+1/2'
'x,-y+1/2,z+1/2'
loop_
_atom_site_label
_atom_site_type_symbol
_atom_site_fract_x
_atom_site_fract_y
_atom_site_fract_z
Tc1 Tc 0.0000 0.0000 0.0000
Ge1 Ge 0.5000 0.0000 0.3836
Os1 Os 0.5000 0.0000 0.7032
N1 N 0.0000 0.0000 0.6280

=====

# 20
# TcGeOsN GGA-PBE optimized geometry
# - Electronic total energy: -0.607 Ry per atom
# - Energy above the most stable polymorph in this dataset: 0.93 eV per formula unit
# - Raw formation energy: 0.38 eV/atom
data_TcGeOsN
_symmetry_space_group_name_H-M 'C 1 m 1'
_symmetry_Int_Tables_number 8
_cell_length_a 9.0430
_cell_length_b 2.8853
_cell_length_c 4.2666
_cell_angle_alpha 90.00
_cell_angle_beta 110.77
_cell_angle_gamma 90.00
loop_
_symmetry_equiv_pos_as_xyz
'x,y,z'
'x,-y,z'
'x+1/2,y+1/2,z'
'x+1/2,-y+1/2,z'
loop_
_atom_site_label
_atom_site_type_symbol
_atom_site_fract_x
_atom_site_fract_y
_atom_site_fract_z
Tc1 Tc 0.0000 0.0000 0.0000
Ge1 Ge 0.3254 0.0000 0.3986
Os1 Os 0.1219 0.5000 0.5837
N1 N 0.2961 0.5000 0.0408